No. 1
Material: Tm5HgRh2
Method: DFT, PBE
State: optimized geometry

Crystal system: tetragonal
N(E_F), states/eV/atom: 0.4995
ρ, g cm⁻³: 10.8
V, Å³/atom: 24.060
Formation energy from the elements, meV/atom: -684

Cell lengths 7.6080, 7.6080, 8.5542 Å; angles 116.40, 116.40, 90.00 degrees
Element x y z (fractional)
Rh (0.6401, 0.1401, 0.0000)
Rh (0.8599, 0.6401, 0.0000)
Tm (0.2033, 0.0233, 0.7266)
Tm (0.0000, 0.0000, 0.0000)
Rh (0.3599, 0.8599, 0.0000)
Tm (0.0233, 0.5233, 0.7266)
Tm (0.2967, 0.7967, 0.2734)
Tm (0.9767, 0.4767, 0.2734)
Tm (0.7967, 0.9767, 0.2734)
Tm (0.4767, 0.2967, 0.2734)
Rh (0.1401, 0.3599, 0.0000)
Tm (0.5233, 0.7033, 0.7266)
Hg (0.7500, 0.7500, 0.5000)
Hg (0.2500, 0.2500, 0.5000)
Tm (0.7033, 0.2033, 0.7266)
Tm (0.5000, 0.5000, 0.0000)



No. 2
Material: Tm6Hg2Rh
Method: DFT, PBE
State: optimized geometry

Crystal system: orthorhombic
N(E_F), states/eV/atom: 1.1499
ρ, g cm⁻³: 9.9
V, Å³/atom: 28.320
Formation energy from the elements, meV/atom: -293

Cell lengths 4.9906, 7.0141, 8.4573 Å; angles 114.50, 107.13, 90.00 degrees
Element x y z (fractional)
Tm (0.5000, 0.7656, 0.0000)
Hg (0.3337, 0.3335, 0.6670)
Hg (0.6663, 0.6665, 0.3330)
Tm (0.8425, 0.0857, 0.6847)
Tm (0.1575, 0.9143, 0.3153)
Tm (0.8425, 0.5989, 0.6847)
Tm (0.1575, 0.4011, 0.3153)
Tm (0.5000, 0.2344, 0.0000)
Rh (0.0000, 0.0000, 0.0000)



No. 3
Material: Tm5Hg2Rh2
Method: DFT, PBE
State: optimized geometry

Crystal system: orthorhombic
N(E_F), states/eV/atom: 0.5807
ρ, g cm⁻³: 11.1
V, Å³/atom: 24.157
Formation energy from the elements, meV/atom: -670

Cell lengths 7.5141, 7.3912, 8.6577 Å; angles 115.27, 90.00, 90.00 degrees
Element x y z (fractional)
Tm (0.8304, 0.7929, 0.2452)
Hg (0.5000, 0.2858, 0.5717)
Rh (0.6357, 0.8669, 0.0000)
Hg (0.0000, 0.2142, 0.4283)
Tm (0.3304, 0.7071, 0.7548)
Tm (0.8304, 0.5478, 0.7548)
Tm (0.1696, 0.2071, 0.7548)
Tm (0.1696, 0.4522, 0.2452)
Tm (0.6696, 0.0478, 0.7548)
Tm (0.0000, 0.0000, 0.0000)
Tm (0.5000, 0.5000, 0.0000)
Rh (0.3643, 0.1331, 0.0000)
Hg (0.5000, 0.7142, 0.4283)
Rh (0.8643, 0.3669, 0.0000)
Tm (0.6696, 0.2929, 0.2452)
Hg (0.0000, 0.7858, 0.5717)
Tm (0.3304, 0.9522, 0.2452)
Rh (0.1357, 0.6331, 0.0000)